Entry 1:
Compound: ThPaGe2
Source: Alexandria
Functional: GGA-PBE
Structure: optimized geometry

For the excess energy over the best structure of this formula in the dataset, the calculation gives 10.7 meV per atom.

It has space group I4_1/amd (No. 141, origin choice 2), with a = 5.970 Å, b = 5.970 Å, c = 11.942 Å, α = 90.00°, β = 90.00° and γ = 90.00°. Symmetry generates all atoms from Th at (0.000, 0.250, 0.375), Pa at (0.000, 0.250, 0.875) and Ge at (0.000, 0.250, 0.118).



Entry 2:
Compound: ScUPa2
Source: Alexandria
Functional: GGA-PBE
Structure: optimized geometry

For the excess energy over the best structure of this formula in the dataset, the calculation gives 0.0 meV per atom.

It has space group P4/mmm (No. 123), with a = 3.459 Å, b = 3.459 Å, c = 7.855 Å, α = 90.00°, β = 90.00° and γ = 90.00°. Symmetry generates all atoms from Sc at (0.000, 0.000, 0.000), U at (0.000, 0.000, 0.500) and Pa at (0.500, 0.500, 0.277).



Entry 3:
Compound: ZrSi2Rh2
Source: Alexandria
Functional: GGA-PBE
Structure: optimized geometry

The value obtained for the uncorrected formation energy is -737.9 meV per atom.

It has space group P4/mbm (No. 127), with a = 7.286 Å, b = 7.286 Å, c = 2.794 Å, α = 90.00°, β = 90.00° and γ = 90.00°. Symmetry generates all atoms from Zr at (0.000, 0.000, 0.000), Si at (0.148, 0.352, 0.000) and Rh at (0.146, 0.646, 0.500).



Entry 4:
Compound: LiPtCl
Source: Alexandria
Functional: GGA-PBE
Structure: optimized geometry

For the excess energy over the best structure of this formula in the dataset, the calculation gives 469.6 meV per atom. The value obtained for the uncorrected formation energy is -357.1 meV per atom.

It has space group Fmm2 (No. 42), with a = 2.890 Å, b = 4.771 Å, c = 15.305 Å, α = 90.00°, β = 90.00° and γ = 90.00°. Symmetry generates all atoms from Li at (0.000, 0.000, 0.000), Pt at (0.000, 0.000, 0.359) and Cl at (0.000, 0.000, 0.616).



Number 1: E_tot -114.1 eV for the cell shown. Number 2: E_tot -35.8 eV for the cell shown. Number 3: E_tot -75.6 eV for the cell shown. Number 4: E_tot -43.5 eV for the cell shown.